DFT (PBE) results for crystalline ReSi17Ge13P at its relaxed geometry.

a = 5.578 Å, b = 3.924 Å, c = 31.448 Å
α = 90.00°, β = 90.11°, γ = 90.00°
Sites, in units of the cell vectors:
Re  0.000  0.000  0.000
Si  0.001  0.000  0.376
Si  0.002  0.000  0.626
Si  0.004  0.000  0.125
Si  0.006  0.000  0.880
Si  0.244  0.000  0.062
Si  0.250  0.000  0.316
Si  0.259  0.000  0.566
Si  0.501  0.500  0.566
Si  0.512  0.500  0.439
Si  0.514  0.500  0.187
Si  0.514  0.500  0.688
Si  0.752  0.500  0.750
Si  0.759  0.500  0.627
Si  0.760  0.500  0.003
Si  0.761  0.500  0.378
Si  0.764  0.500  0.127
Si  0.765  0.500  0.878
Ge  0.002  0.000  0.752
Ge  0.012  0.000  0.503
Ge  0.013  0.000  0.252
Ge  0.254  0.000  0.817
Ge  0.261  0.000  0.438
Ge  0.262  0.000  0.187
Ge  0.262  0.000  0.688
Ge  0.501  0.500  0.316
Ge  0.502  0.500  0.065
Ge  0.503  0.500  0.940
Ge  0.519  0.500  0.815
Ge  0.747  0.500  0.503
Ge  0.750  0.500  0.251
P  0.238  0.000  0.941

Properties
The value obtained for the final energy is -5.238 eV/atom. The calculation puts the mass density at 4.0 g cm⁻³.